A geometry-optimized AcTh2ReC4 structure. Source: Alexandria, functional PBE.

Results
Its space-group type is No. 63. As for the uncorrected energy: -0.633 Ry per atom. The value obtained for the calculated formation energy is -0.078 eV/atom. The value obtained for the size of the total moment is 0.00 μB per formula unit. Its density of states at the Fermi level is 9.1 states/eV per cell.

Cell and atoms, written as extended XYZ:
```
16
Lattice="-1.027 -3.376 -1.080 6.120 -0.648 2.509 -4.961 -2.180 11.538" Properties=species:S:1:pos:R:3 pbc="T T T"
Ac -2.675 -2.071 9.021
Th 1.452 -2.901 7.692
C -0.953 -4.180 7.671
C -2.146 -4.704 10.443
Ac 2.807 -4.133 3.947
C -2.481 -1.090 5.769
C 0.800 -3.518 10.242
Re -0.545 -4.860 9.410
Re 0.677 -1.344 3.558
C 0.000 0.000 0.000
Th 0.756 -2.390 0.447
Th -0.624 -3.814 12.520
C 2.277 -1.500 2.524
C -0.669 -2.685 2.726
Th -1.320 -3.302 5.276
C 1.085 -2.024 5.297
```